No. 1
Below is an optimized crystal structure of TbPrNi, with properties calculated at the PBE-GGA level.

Lattice parameters (Å, degrees): 3.4905 6.6479 7.0683 79.21 89.75 74.84
Last column: nearest neighbours and their distance in Å.
Space group P-1 (No. 2)
Inequivalent atoms, fractional coordinates:
1 Tb 0.1308 0.2360 0.0770 x2  4 Ni 2.81-2.83
2 Pr 0.1292 0.2499 0.5698 x2  2 Ni 2.94-2.95, 1 Pr 3.17
3 Ni 0.4851 0.5276 0.1982 x2  4 Tb 2.81-2.83, 1 Ni 2.89, 2 Pr 2.94-2.95

## Properties
theoretical density	7.67	g cm⁻³
uncorrected energy	-31.4	eV/cell
relative energy among the computed polymorphs	61	meV/atom
formation energy	-0.1715	eV per atom

***

No. 2
Below is an optimized crystal structure of Tb2PrNi, with properties calculated at the PBE-GGA level.

Lattice parameters (Å, degrees): 3.8596 3.8596 27.0593 90.00 90.00 120.00
Last column: nearest neighbours and their distance in Å.
Space group R3m (No. 160, hexagonal axes)
Inequivalent atoms, fractional coordinates:
1 Tb 0.0000 0.0000 0.0000 x3  3 Ni 2.70
2 Tb 0.0000 0.0000 0.2187 x3  3 Ni 2.73
3 Pr 0.0000 0.0000 0.7737 x3  6 Tb 3.66-3.75, 6 Pr 3.86
4 Ni 0.0000 0.0000 0.6101 x3  6 Tb 2.70-2.73

## Properties
theoretical density	7.38	g cm⁻³
uncorrected energy	-60.8	eV/cell
relative energy among the computed polymorphs	96	meV/atom
formation energy	-0.1144	eV per atom

***

No. 3
Below is an optimized crystal structure of TbPrNi3, with properties calculated at the PBE-GGA level.

Lattice parameters (Å, degrees): 3.9710 24.3114 4.0258 90.00 90.00 90.00
Last column: nearest neighbours and their distance in Å.
Space group Cmcm (No. 63)
Inequivalent atoms, fractional coordinates:
1 Tb 0.0000 0.2042 0.2500 x4  7 Ni 2.81-2.91
2 Pr 0.0000 0.0721 0.7500 x4  12 Ni 3.05-3.22
3 Ni 0.0000 0.3238 0.2500 x4  2 Ni 2.40
4 Ni 0.0000 0.3778 0.7500 x4  3 Ni 2.36-2.40
5 Ni 0.0000 0.4748 0.7500 x4  3 Ni 2.36

## Properties
theoretical density	8.13	g cm⁻³
uncorrected energy	-114.1	eV/cell
formation energy	-0.3565	eV per atom

***

No. 4
Below is an optimized crystal structure of TbPr2Ni, with properties calculated at the PBE-GGA level.

Lattice parameters (Å, degrees): 3.6959 3.6959 31.6896 90.00 90.00 120.00
Last column: nearest neighbours and their distance in Å.
Space group R-3m (No. 166, hexagonal axes)
Inequivalent atoms, fractional coordinates:
1 Tb 0.0000 0.0000 0.0000 x3  2 Pr 3.49, 6 Tb 3.70
2 Pr 0.0000 0.0000 0.1101 x6  3 Ni 2.79
3 Ni 0.0000 0.0000 0.5000 x3  6 Pr 2.79

## Properties
theoretical density	6.64	g cm⁻³
uncorrected energy	-58.1	eV/cell
relative energy among the computed polymorphs	325	meV/atom
formation energy	0.1499	eV per atom

***

Question: The highest theoretical density belongs to which entry?
Answer: TbPrNi3

***

Question: formation energy of number 1 (TbPrNi)?
Answer: -0.1715 eV per atom

***

Question: Among the records above, which one has the highest theoretical density?
Answer: TbPrNi3